Entry 1:
BaZr2Ga2 after structural relaxation. Source: the Alexandria database, functional PBE-GGA.

Calculated values
Formation energy from the elements in eV/atom: -0.20
Density in g/cm³: 6.49
Total magnetization in Bohr magnetons per cell: 0.0
Electronic total energy in eV per atom: -5.21

POSCAR file:
```
BaZr2Ga2
1.0
8.708 0.000 0.000
0.000 8.708 0.000
0.000 0.000 3.097
Ba Zr Ga
2 4 4
Direct
0.000 0.000 0.000
0.500 0.500 0.000
0.125 0.375 0.000
0.375 0.875 0.000
0.625 0.125 0.000
0.875 0.625 0.000
0.168 0.668 0.500
0.332 0.168 0.500
0.668 0.832 0.500
0.832 0.332 0.500
```

=====

Entry 2:
PaNiGe2 after structural relaxation. Source: the Alexandria database, functional PBE-GGA.

Calculated values
Formation energy from the elements in eV/atom: -0.51
Density in g/cm³: 10.08
Total magnetization in Bohr magnetons per cell: 0.7
Electronic total energy in eV per atom: -6.63

POSCAR file:
```
PaNiGe2
1.0
-2.111 4.188 8.106
2.111 -4.188 8.106
2.111 4.188 -8.106
Pa Ni Ge
4 4 8
Direct
0.205 0.205 0.000
0.244 0.000 0.244
0.756 0.000 0.756
0.795 0.795 0.000
0.098 0.350 0.749
0.399 0.650 0.749
0.601 0.350 0.251
0.902 0.650 0.251
0.076 0.576 0.500
0.154 0.808 0.346
0.424 0.424 0.000
0.462 0.808 0.654
0.538 0.192 0.346
0.576 0.576 0.000
0.846 0.192 0.654
0.924 0.424 0.500
```

=====

Entry 3:
KSe2NCl after structural relaxation. Source: the Alexandria database, functional PBE-GGA.

Calculated values
Density in g/cm³: 3.24
Total magnetization in Bohr magnetons per cell: 2.5
Electronic total energy in eV per atom: -2.70

POSCAR file:
```
KSe2NCl
1.0
5.152 0.000 0.000
0.000 5.152 0.000
0.000 0.000 4.764
K Se N Cl
1 2 1 1
Direct
0.000 0.000 0.000
0.000 0.500 0.500
0.500 0.000 0.500
0.500 0.500 0.000
0.500 0.500 0.500
```

=====

Entry 4:
Pm5YPb6 after structural relaxation. Source: the Alexandria database, functional PBE-GGA.

Calculated values
Formation energy from the elements in eV/atom: -0.49
Density in g/cm³: 9.19
Total magnetization in Bohr magnetons per cell: 0.0
Electronic total energy in eV per atom: -4.86

POSCAR file:
```
Pm5YPb6
1.0
2.965 -7.310 0.000
2.965 7.310 0.000
-1.808 0.000 8.577
Pm Y Pb
5 1 6
Direct
0.000 0.000 0.000
0.331 0.669 0.000
0.336 0.664 0.500
0.664 0.336 0.500
0.669 0.331 0.000
0.000 0.000 0.500
0.163 0.833 0.254
0.167 0.837 0.746
0.486 0.486 0.752
0.514 0.514 0.248
0.833 0.163 0.254
0.837 0.167 0.746
```

=====

Entry 5:
K2Pm2PaTe6 after structural relaxation. Source: the Alexandria database, functional PBE-GGA.

Calculated values
Density in g/cm³: 5.09
Total magnetization in Bohr magnetons per cell: 1.1
Electronic total energy in eV per atom: -4.89

POSCAR file:
```
K2Pm2PaTe6
1.0
3.913 -6.749 0.000
3.913 6.749 0.000
-2.657 0.000 8.429
K Pm Pa Te
2 2 1 6
Direct
0.169 0.831 0.000
0.831 0.169 0.000
0.333 0.667 0.500
0.667 0.333 0.500
0.000 0.000 0.500
0.073 0.397 0.710
0.255 0.255 0.291
0.397 0.073 0.710
0.603 0.927 0.290
0.745 0.745 0.709
0.927 0.603 0.290
```

=====

Entry 6:
CsTl5Bi after structural relaxation. Source: the Alexandria database, functional PBE-GGA.

Calculated values
Formation energy from the elements in eV/atom: -0.08
Density in g/cm³: 8.10
Total magnetization in Bohr magnetons per cell: 0.0
Electronic total energy in eV per atom: -2.45

POSCAR file:
```
CsTl5Bi
1.0
5.043 0.000 0.000
0.000 5.043 0.000
0.000 0.000 11.000
Cs Tl Bi
1 5 1
Direct
0.000 0.000 0.000
0.000 0.000 0.500
0.000 0.500 0.286
0.000 0.500 0.714
0.500 0.000 0.286
0.500 0.000 0.714
0.500 0.500 0.500
```

=====

Entry 7:
Ag2OF after structural relaxation. Source: the Alexandria database, functional PBE-GGA.

Calculated values
Density in g/cm³: 7.09
Total magnetization in Bohr magnetons per cell: 0.0
Electronic total energy in eV per atom: -3.58

POSCAR file:
```
Ag2OF
1.0
11.982 0.000 0.000
0.000 4.393 0.000
-1.953 0.000 4.464
Ag O F
8 4 4
Direct
0.143 0.000 0.392
0.156 0.500 0.906
0.344 0.000 0.094
0.357 0.500 0.608
0.643 0.500 0.392
0.656 0.000 0.906
0.844 0.500 0.094
0.857 0.000 0.608
0.158 0.500 0.407
0.342 0.000 0.593
0.658 0.000 0.407
0.842 0.500 0.593
0.058 0.000 0.807
0.442 0.500 0.193
0.558 0.500 0.807
0.942 0.000 0.193
```

=====

Entry 8:
TaCoRe2 after structural relaxation. Source: the Alexandria database, functional PBE-GGA.

Calculated values
Formation energy from the elements in eV/atom: 0.63
Density in g/cm³: 15.99
Total magnetization in Bohr magnetons per cell: 0.0
Electronic total energy in eV per atom: -10.33

POSCAR file:
```
TaCoRe2
1.0
3.607 0.000 0.000
0.000 3.607 0.000
0.000 0.000 19.552
Ta Co Re
4 4 8
Direct
0.000 0.000 0.000
0.000 0.500 0.250
0.500 0.000 0.750
0.500 0.500 0.500
0.000 0.000 0.500
0.000 0.500 0.750
0.500 0.000 0.250
0.500 0.500 0.000
0.238 0.250 0.625
0.250 0.738 0.875
0.250 0.762 0.375
0.262 0.250 0.125
0.738 0.750 0.125
0.750 0.238 0.375
0.750 0.262 0.875
0.762 0.750 0.625
```

=====

Entry 9:
Rb2PaO3 after structural relaxation. Source: the Alexandria database, functional PBE-GGA.

Calculated values
Density in g/cm³: 5.24
Total magnetization in Bohr magnetons per cell: 0.6
Electronic total energy in eV per atom: -6.78

POSCAR file:
```
Rb2PaO3
1.0
5.683 -3.872 0.000
5.683 3.872 0.000
0.000 0.000 6.477
Rb Pa O
4 2 6
Direct
0.034 0.290 0.250
0.290 0.034 0.750
0.710 0.966 0.250
0.966 0.710 0.750
0.410 0.590 0.250
0.590 0.410 0.750
0.146 0.854 0.250
0.379 0.379 0.000
0.379 0.379 0.500
0.621 0.621 0.000
0.621 0.621 0.500
0.854 0.146 0.750
```

=====

Entry 10:
Sc4FeIr3 after structural relaxation. Source: the Alexandria database, functional PBE-GGA.

Calculated values
Formation energy from the elements in eV/atom: -0.80
Density in g/cm³: 10.26
Total magnetization in Bohr magnetons per cell: 0.0
Electronic total energy in eV per atom: -8.35

POSCAR file:
```
Sc4FeIr3
1.0
4.523 0.000 0.000
0.000 4.523 0.000
0.000 0.000 12.853
Sc Fe Ir
8 2 6
Direct
0.000 0.500 0.122
0.000 0.500 0.378
0.000 0.500 0.622
0.000 0.500 0.878
0.500 0.000 0.122
0.500 0.000 0.378
0.500 0.000 0.622
0.500 0.000 0.878
0.000 0.000 0.000
0.500 0.500 0.500
0.000 0.000 0.249
0.000 0.000 0.500
0.000 0.000 0.751
0.500 0.500 0.000
0.500 0.500 0.251
0.500 0.500 0.749
```

=====

Entry 11:
In2PdAu4 after structural relaxation. Source: the Alexandria database, functional PBE-GGA.

Calculated values
Formation energy from the elements in eV/atom: -0.10
Density in g/cm³: 13.35
Total magnetization in Bohr magnetons per cell: 0.0
Electronic total energy in eV per atom: -3.49

POSCAR file:
```
In2PdAu4
1.0
-4.135 4.135 4.087
4.135 -4.135 4.087
4.135 4.135 -4.087
In Pd Au
4 2 8
Direct
0.375 0.004 0.129
0.754 0.625 0.629
0.875 0.246 0.871
0.996 0.125 0.371
0.250 0.750 0.500
0.500 0.500 0.000
0.132 0.042 0.751
0.132 0.541 0.749
0.291 0.382 0.249
0.459 0.208 0.590
0.618 0.868 0.410
0.618 0.868 0.910
0.792 0.382 0.251
0.958 0.709 0.090
```

=====

Entry 12:
PrNdPb2 after structural relaxation. Source: the Alexandria database, functional PBE-GGA.

Calculated values
Formation energy from the elements in eV/atom: -0.57
Density in g/cm³: 9.03
Total magnetization in Bohr magnetons per cell: 0.0
Electronic total energy in eV per atom: -4.81

POSCAR file:
```
PrNdPb2
1.0
4.696 0.000 0.000
0.000 4.552 0.000
-2.342 0.000 6.017
Pr Nd Pb
1 1 2
Direct
0.000 0.000 0.000
0.263 0.500 0.530
0.537 0.500 0.074
0.727 0.000 0.457
```